MnFeO3: optimized geometry, GGA+U.

The total energy comes out at -6.92 eV/atom.

a = 4.9871 Å, b = 5.1103 Å, c = 5.3489 Å
α = 62.90°, β = 89.23°, γ = 62.54°
Space group P1 (No. 1)
Symmetry-distinct sites (fractional):
Mn: 0.0000 0.0000 0.0000 [1 per cell]
Mn: 0.2920 0.4205 0.8869 [1 per cell]
Fe: 0.4989 0.0052 0.4938 [1 per cell]
Fe: 0.7980 0.4075 0.3981 [1 per cell]
O: 0.0875 0.2184 0.1882 [1 per cell]
O: 0.1900 0.2187 0.6920 [1 per cell]
O: 0.4172 0.4967 0.1863 [1 per cell]
O: 0.5670 0.5417 0.6643 [1 per cell]
O: 0.7220 0.8740 0.2080 [1 per cell]
O: 0.8796 0.9366 0.6853 [1 per cell]